A relaxed structure of Ac2ErHgSe5, computed with GGA-PBE.

The structure in extended XYZ format:
```
18
Lattice="4.248 0.000 0.000 -2.124 9.101 0.000 0.000 0.000 13.027" Properties=species:S:1:pos:R:3 pbc="T T T"
Ac 0.000 2.425 4.036
Ac 2.124 6.935 2.430
Ac 0.000 2.167 8.944
Ac 2.124 6.676 10.549
Se 0.000 5.591 4.638
Se 2.124 3.813 2.076
Se 0.000 9.014 9.969
Se 2.124 8.238 7.541
Se 0.000 0.863 1.027
Se 0.000 5.289 8.589
Se 2.124 0.088 3.455
Se 2.124 2.669 6.532
Se 0.000 6.432 0.019
Se 2.124 3.511 11.152
Er 2.124 5.503 6.633
Er 0.000 3.598 0.120
Hg 2.124 0.690 12.474
Hg 0.000 8.411 5.960
```

Space-group type   Cmc2_1
Uncorrected formation energy   -150.9 kJ/mol of atoms